1.
! CuTe4Rh | Alexandria via LeMat-Bulk | PBE | optimized geometry; values from VASP
! density = 7.19 g/cm3
! energy relative to the elements, uncorrected = -22 meV per atom
! total magnetic moment = 0.00 μB per cell
&SYSTEM
  ibrav = 0, nat = 12, ntyp = 3
/
ATOMIC_SPECIES
Cu 63.55 Cu.upf
Te 127.60 Te.upf
Rh 102.91 Rh.upf
ATOMIC_POSITIONS crystal
Cu 0.000 0.000 0.000
Cu 0.750 0.250 0.500
Te 0.198 0.504 0.694
Te 0.254 0.060 0.806
Te 0.254 0.448 0.194
Te 0.310 0.005 0.305
Te 0.699 0.005 0.695
Te 0.755 0.560 0.805
Te 0.755 0.949 0.195
Te 0.810 0.504 0.306
Rh 0.257 0.757 0.500
Rh 0.507 0.507 0.000
CELL_PARAMETERS angstrom
-4.352 4.352 4.124
4.352 -4.352 4.124
4.352 4.352 -4.124

=====

2.
! CuTeRh | Alexandria via LeMat-Bulk | PBE | optimized geometry; values from VASP
! density = 9.75 g/cm3
! energy relative to the elements, uncorrected = -15 meV per atom
! total magnetic moment = 0.00 μB per cell
&SYSTEM
  ibrav = 0, nat = 3, ntyp = 3
/
ATOMIC_SPECIES
Cu 63.55 Cu.upf
Te 127.60 Te.upf
Rh 102.91 Rh.upf
ATOMIC_POSITIONS crystal
Cu 0.000 0.000 0.000
Te 0.682 0.682 0.000
Rh 0.335 0.335 0.000
CELL_PARAMETERS angstrom
-1.762 1.762 4.034
1.762 -1.762 4.034
1.762 1.762 -4.034

=====

3.
! CuTe2Rh | Alexandria via LeMat-Bulk | PBE | optimized geometry; values from VASP
! density = 8.61 g/cm3
! energy relative to the elements, uncorrected = 544 meV per atom
! total magnetic moment = 0.00 μB per cell
&SYSTEM
  ibrav = 0, nat = 4, ntyp = 3
/
ATOMIC_SPECIES
Cu 63.55 Cu.upf
Te 127.60 Te.upf
Rh 102.91 Rh.upf
ATOMIC_POSITIONS crystal
Cu 0.000 0.000 0.000
Te 0.500 0.500 0.500
Te 0.750 0.750 0.750
Rh 0.250 0.250 0.250
CELL_PARAMETERS angstrom
0.000 3.439 3.439
3.439 0.000 3.439
3.439 3.439 0.000

=====

> Number 3 is which compound?

CuTe2Rh